No. 1
First-principles (PBE) data for a geometry-optimized NaTmAs2O8 structure, as listed in Alexandria via LeMat-Bulk.

Cell: 5.9934 5.9934 5.9934 Å, 106.48 106.48 115.64°
Each line ends with the local moment (μB).
Fractional positions:
O 0.3984 0.0915 0.3070  0.20
O 0.9085 0.6016 0.6930  0.20
As 0.5000 0.5000 0.0000  -0.03
O 0.7845 0.0915 0.6930  0.20
O 0.8580 0.6769 0.1811  0.24
O 0.3231 0.1420 0.8189  0.24
Na 0.2500 0.7500 0.5000  0.00
Tm 0.0000 0.0000 0.0000  -0.03
O 0.3231 0.5042 0.1811  0.24
As 0.7500 0.2500 0.5000  -0.03
O 0.9085 0.2155 0.3070  0.20
O 0.4958 0.6769 0.8189  0.24

## Properties
ρ = 4.749 Mg/m³
Total DFT energy (no corrections) = -73.58 eV per formula unit
Calculated volume = 164.27 Å³ per cell


No. 2
First-principles (PBE) data for a geometry-optimized Na2TmAsO4 structure, as listed in Alexandria via LeMat-Bulk.

Cell: 3.3115 5.6985 5.8544 Å, 108.80 90.00 90.00°
Fractional positions:
O 0.5000 0.7632 0.7853
O 0.5000 0.2368 0.2147
Na 0.5000 0.0000 0.5000
Na 0.0000 0.5000 0.5000
As 0.0000 0.0000 0.0000
O 0.0000 0.2602 0.7901
O 0.0000 0.7398 0.2099
Tm 0.5000 0.5000 0.0000

## Properties
ρ = 5.618 Mg/m³
Total DFT energy (no corrections) = -47.68 eV per formula unit
Calculated volume = 104.59 Å³ per cell


No. 3
First-principles (PBE) data for a geometry-optimized Na3Tm3AsO8 structure, as listed in Alexandria via LeMat-Bulk.

Cell: 6.5998 6.5998 6.7466 Å, 119.29 90.00 120.00°
Fractional positions:
O 0.7617 0.9784 0.6950
O 0.7355 0.4710 0.7064
O 0.2645 0.5290 0.2936
O 0.2383 0.0216 0.3050
O 0.7833 0.0216 0.3050
Na 0.5000 0.5000 0.0000
Tm 0.0000 0.5000 0.5000
Na 0.0000 0.5000 0.0000
O 0.2167 0.4334 0.6950
Na 0.0000 0.0000 0.0000
Tm 0.5000 0.0000 0.5000
Tm 0.5000 0.5000 0.5000
O 0.2167 0.9784 0.6950
O 0.7833 0.5666 0.3050
As 0.0000 0.0000 0.5000

## Properties
ρ = 6.158 Mg/m³
Total DFT energy (no corrections) = -99.06 eV per formula unit
Calculated volume = 209.99 Å³ per cell